(1)
A plane-wave DFT calculation with GGA-PBE was carried out for SrEr5In6 after structural relaxation.

a = 5.3779 Å, b = 7.4676 Å, c = 9.2813 Å
α = 113.72°, β = 106.84°, γ = 90.00°
Last column: nearest neighbours and their distance in Å.
Fractional coordinates of all 12 atoms:
In  0.8289  0.5702  0.6578  7 Er 3.22-3.31, 1 Sr 3.37, 1 In 3.60
In  0.5000  0.7324  0.0000  6 Er 3.20-3.28, 2 Sr 3.35, 1 In 3.47
In  0.5000  0.2676  0.0000  6 Er 3.20-3.28, 2 Sr 3.35, 1 In 3.47
In  0.8289  0.0876  0.6578  7 Er 3.22-3.31, 1 Sr 3.37, 1 In 3.60
In  0.1711  0.9124  0.3422  7 Er 3.22-3.31, 1 Sr 3.37, 1 In 3.60
In  0.1711  0.4298  0.3422  7 Er 3.22-3.31, 1 Sr 3.37, 1 In 3.60
Er  0.6689  0.6689  0.3378  8 In 3.22-3.24
Er  0.3311  0.3311  0.6622  8 In 3.22-3.24
Er  0.3388  0.8388  0.6776  8 In 3.25-3.31
Er  0.0000  0.5000  0.0000  8 In 3.20-3.30
Er  0.6612  0.1612  0.3224  8 In 3.25-3.31
Sr  0.0000  0.0000  0.0000  8 In 3.35-3.37, 6 Er 3.73-3.74

Results
- M_tot: 0.0 μB/cell

(2)
A plane-wave DFT calculation with GGA-PBE was carried out for NaLiTlIn2 after structural relaxation.

a = 5.0911 Å, b = 5.3373 Å, c = 5.0911 Å
α = 90.00°, β = 90.00°, γ = 90.00°
Last column: nearest neighbours and their distance in Å.
Fractional coordinates of all 5 atoms:
Tl  0.5000  0.5000  0.5000  4 Na 3.60, 8 In 3.69
In  0.0000  0.0000  0.5000  2 Li 2.55
In  0.5000  0.0000  0.0000  2 Li 2.55
Na  0.0000  0.5000  0.0000  2 Li 2.67
Li  0.0000  0.0000  0.0000  4 In 2.55, 2 Na 2.67

Results
- M_tot: 0.0 μB/cell
- Offset from the most stable computed form: 37 meV per atom

(3)
A plane-wave DFT calculation with GGA-PBE was carried out for CePrPu2Te5 after structural relaxation.

a = 5.6476 Å, b = 5.6476 Å, c = 11.9055 Å
α = 90.00°, β = 90.00°, γ = 90.00°
Last column: nearest neighbours and their distance in Å.
Fractional coordinates of all 9 atoms:
Pr  0.0000  0.0000  0.0000  2 Te 2.96
Ce  0.0000  0.0000  0.5000  6 Te 2.82-2.99
Te  0.0000  0.0000  0.7515  1 Pr 2.96, 1 Ce 2.99
Te  0.5000  0.0000  0.5000  2 Ce 2.82
Te  0.0000  0.0000  0.2485  1 Pr 2.96, 1 Ce 2.99
Te  0.5000  0.5000  0.0000  4 Pr 3.99, 2 Pu 4.01
Te  0.0000  0.5000  0.5000  2 Ce 2.82
Pu  0.5000  0.5000  0.6628  4 Te 3.43
Pu  0.5000  0.5000  0.3372  4 Te 3.43

Results
- M_tot: 12.9 μB/cell
- Uncorrected formation energy: -0.63 eV per atom

(4)
A plane-wave DFT calculation with GGA-PBE was carried out for Te2I2Cl after structural relaxation.

a = 7.9093 Å, b = 7.9093 Å, c = 4.9911 Å
α = 90.00°, β = 90.00°, γ = 90.00°
Last column: nearest neighbours and their distance in Å.
Fractional coordinates of all 10 atoms:
Cl  0.5000  0.5000  0.0000  4 Te 3.10
Cl  0.0000  0.0000  0.0000  4 Te 3.10
I  0.6763  0.8237  0.5000  6 Te 3.30-3.50
I  0.8237  0.3237  0.5000  6 Te 3.30-3.50
I  0.3237  0.1763  0.5000  6 Te 3.30-3.50
I  0.1763  0.6763  0.5000  6 Te 3.30-3.50
Te  0.6307  0.1307  0.0000  1 Te 2.92, 2 Cl 3.10
Te  0.3693  0.8693  0.0000  1 Te 2.92, 2 Cl 3.10
Te  0.1307  0.3693  0.0000  1 Te 2.92, 2 Cl 3.10
Te  0.8693  0.6307  0.0000  1 Te 2.92, 2 Cl 3.10

Results
- M_tot: 0.0 μB/cell
- Uncorrected formation energy: 0.15 eV per atom

(5)
A plane-wave DFT calculation with GGA-PBE was carried out for Tb6PmTm2Th3 after structural relaxation.

a = 6.1778 Å, b = 6.1778 Å, c = 11.7717 Å
α = 95.03°, β = 95.03°, γ = 119.99°
Last column: nearest neighbours and their distance in Å.
Fractional coordinates of all 12 atoms:
Th  0.5000  0.5000  0.5000  6 Tb 3.52, 6 Th 3.57
Th  0.8338  0.1662  0.5000  6 Tb 3.52, 6 Th 3.56-3.57
Th  0.1662  0.8338  0.5000  6 Tb 3.52, 6 Th 3.56-3.57
Tm  0.3332  0.6668  0.0000  3 Pm 3.56-3.57, 3 Tm 3.57, 6 Tb 3.59
Tm  0.6668  0.3332  0.0000  3 Pm 3.56-3.57, 3 Tm 3.57, 6 Tb 3.59
Tb  0.4186  0.0844  0.2537  3 Th 3.52, 6 Tb 3.56-3.58, 2 Tm 3.59, 1 Pm 3.59
Tb  0.9156  0.5814  0.7463  3 Th 3.52, 6 Tb 3.56-3.58, 2 Tm 3.59, 1 Pm 3.59
Tb  0.2498  0.2498  0.7466  3 Th 3.52, 6 Tb 3.56-3.58, 2 Tm 3.59, 1 Pm 3.59
Tb  0.7502  0.7502  0.2534  3 Th 3.52, 6 Tb 3.56-3.58, 2 Tm 3.59, 1 Pm 3.59
Tb  0.5814  0.9156  0.7463  3 Th 3.52, 6 Tb 3.56-3.58, 2 Tm 3.59, 1 Pm 3.59
Tb  0.0844  0.4186  0.2537  3 Th 3.52, 6 Tb 3.56-3.58, 2 Tm 3.59, 1 Pm 3.59
Pm  0.0000  0.0000  0.0000  6 Tm 3.56-3.57, 6 Tb 3.59

Results
- M_tot: 0.0 μB/cell

(6)
A plane-wave DFT calculation with GGA-PBE was carried out for TlCdBi2B after structural relaxation.

a = 5.8854 Å, b = 5.4335 Å, c = 5.8854 Å
α = 90.00°, β = 90.00°, γ = 90.00°
Last column: nearest neighbours and their distance in Å.
Fractional coordinates of all 5 atoms:
Tl  0.0000  0.0000  0.0000  2 Cd 2.72, 4 Bi 2.94
B  0.5000  0.5000  0.5000  8 Bi 4.01, 4 Cd 4.16
Bi  0.5000  0.0000  0.0000  2 Tl 2.94
Bi  0.0000  0.0000  0.5000  2 Tl 2.94
Cd  0.0000  0.5000  0.0000  2 Tl 2.72

Results
- M_tot: 0.0 μB/cell

no.,calculated total energy (eV/atom),calculated density (Mg/m³)
1,-3.824,8.27
2,-2.148,5.57
3,-6.754,6.15
4,-2.096,5.79
5,-5.286,9.24
6,-1.949,6.58